(1)
The following is a GGA-PBE calculation of Hf8CoP2 after structural relaxation, from the Alexandria database.

The size of the total moment comes out at 0.0 μB per formula unit. The formation energy comes out at -0.106 eV/atom. The value obtained for the raw total energy is -8.97 eV/atom.

Structure (POSCAR):
```
Hf8CoP2
1.0
4.9955 -0.0693 -0.0576
-0.0333 7.0066 -0.1061
-0.0333 1.1767 6.9079
Hf Co P
8 1 2
Cartesian
3.7621 1.8353 4.3298
1.1668 6.2787 2.4145
3.8553 1.4915 1.2397
1.1583 3.2908 2.7353
1.1668 3.5217 5.7315
3.7621 4.5924 1.0128
3.7706 4.8232 4.0090
1.0736 6.6225 5.5045
0.0000 0.0000 0.0000
1.4201 1.2770 1.0614
3.5088 6.8370 5.6829
```

(2)
The following is a GGA-PBE calculation of CuPtAu3 after structural relaxation, from the Alexandria database.

The size of the total moment comes out at 0.0 μB per formula unit. The formation energy comes out at 0.003 eV/atom. The value obtained for the raw total energy is -3.99 eV/atom.

Structure (POSCAR):
```
CuPtAu3
1.0
-3.3836 3.2682 1.0980
-3.1671 -2.2496 2.9474
5.6050 0.5136 5.2612
Au Cu Pt
6 2 2
Cartesian
0.8655 2.1351 6.1077
-3.2127 2.4672 3.1286
-3.1099 -0.2968 4.0395
-0.5795 -1.4750 4.7366
0.9492 -0.6284 7.0170
-0.6809 1.2896 3.8244
-1.4694 0.6079 6.4744
3.2850 0.9015 6.6466
1.7765 0.0736 4.4097
-5.5679 0.9190 3.4547
```

(3)
The following is a GGA-PBE calculation of PrSmHoAl after structural relaxation, from the Alexandria database.

The size of the total moment comes out at 0.0 μB per formula unit. The formation energy comes out at -0.058 eV/atom. The value obtained for the raw total energy is -4.51 eV/atom.

Structure (POSCAR):
```
PrSmHoAl
1.0
-4.1191 -1.3878 3.2828
-1.2304 -5.2523 0.7547
1.0199 -2.3744 4.7950
Pr Al Sm Ho
1 1 1 1
Cartesian
-3.2473 -6.7608 6.6243
-2.1648 -4.5072 4.4162
-1.0824 -2.2536 2.2081
0.0000 0.0000 0.0000
```